No. 1
DFT (PBE) results for a relaxed structure of Ca3Sm2Cd4.

Total DFT energy (no corrections) in eV/cell: -21.6
Fermi-level density of states in states/eV/cell: 6.74
Size of the total moment in μB per formula unit: 0.000
SG: No. 164

abc: 5.407 5.409 10.398
angles: 90.00 90.00 60.01
Element x y z (fractional)
Ca 0.333 0.333 0.416
Cd 0.000 0.000 0.664
Cd 0.000 0.000 0.336
Ca 0.000 0.000 0.000
Ca 0.667 0.667 0.584
Sm 0.667 0.667 0.205
Sm 0.333 0.333 0.795
Cd 0.667 0.667 0.896
Cd 0.333 0.333 0.104


No. 2
DFT (PBE) results for a relaxed structure of Y2ThAl.

ΔE to the lowest computed polymorph in meV/atom: 256
Fermi-level density of states in states/eV/cell: 7.02
Size of the total moment in μB per formula unit: 0.972
SG: No. 225

abc: 5.399 5.399 5.399
angles: 60.00 60.00 60.00
Element x y z (fractional)
Al 0.500 0.500 0.500
Y 0.750 0.750 0.750
Y 0.250 0.250 0.250
Th 0.000 0.000 0.000


No. 3
DFT (PBE) results for a relaxed structure of In5SbPb4.

Fermi-level density of states in states/eV/cell: 5.15
Size of the total moment in μB per formula unit: 0.000
E_form (uncorrected) in eV/f.u.: 0.86
SG: No. 12

abc: 4.042 10.640 9.834
angles: 127.93 101.86 90.00
Element x y z (fractional)
Pb 0.975 0.730 0.950
Pb 0.025 0.270 0.050
In 0.172 0.668 0.344
In 0.500 0.500 0.000
Sb 0.500 0.000 0.000
In 0.167 0.189 0.333
In 0.833 0.811 0.667
Pb 0.343 0.091 0.686
In 0.828 0.332 0.656
Pb 0.657 0.909 0.314


No. 4
DFT (PBE) results for a relaxed structure of Ca5MgAs4.

ΔE to the lowest computed polymorph in meV/atom: 0
Fermi-level density of states in states/eV/cell: 0.48
Size of the total moment in μB per formula unit: 0.000
SG: No. 12

abc: 4.440 7.442 12.518
angles: 135.44 100.21 90.00
Element x y z (fractional)
As 0.696 0.130 0.392
Mg 0.500 0.000 0.000
Ca 0.152 0.268 0.305
Ca 0.171 0.823 0.342
Ca 0.848 0.732 0.695
As 0.304 0.870 0.608
As 0.027 0.289 0.054
Ca 0.829 0.177 0.658
Ca 0.500 0.500 0.000
As 0.973 0.711 0.946


No. 5
DFT (PBE) results for a relaxed structure of MgCdAu2.

Total DFT energy (no corrections) in eV/cell: -10.6
Fermi-level density of states in states/eV/cell: 0.89
Size of the total moment in μB per formula unit: 0.000
SG: No. 123

abc: 4.711 4.711 3.392
angles: 90.00 90.00 90.00
Element x y z (fractional)
Au 0.000 0.500 0.000
Cd 0.000 0.000 0.500
Mg 0.500 0.500 0.500
Au 0.500 0.000 0.000


No. 6
DFT (PBE) results for a relaxed structure of PmUCoRu.

Total DFT energy (no corrections) in eV/cell: -33.4
Fermi-level density of states in states/eV/cell: 4.73
Size of the total moment in μB per formula unit: 0.366
SG: No. 160

abc: 4.274 4.274 5.852
angles: 111.41 90.00 120.00
Element x y z (fractional)
U 0.124 0.247 0.013
Pm 0.617 0.234 0.494
Co 0.819 0.637 0.098
Ru 0.407 0.814 0.863